DFT (PBE) results for crystalline Y3GaIr at its relaxed geometry.

DOS at the Fermi energy, states/eV/atom: 1.197
Energy relative to the lowest polymorph listed for this composition, eV/atom: 0.000
Energy relative to the elements, meV/atom: -257
Raw total energy, eV per atom: -6.513

abc: 5.3519 5.3519 5.3519
angles: 90.00 90.00 90.00
Fractional positions:
Y 0.0000 0.0000 0.5000
Y 0.0000 0.5000 0.0000
Y 0.5000 0.0000 0.0000
Ga 0.5000 0.5000 0.5000
Ir 0.0000 0.0000 0.0000